Sr3GaBi | PBE-GGA | relaxed

abc: 4.614 9.127 9.412
angles: 94.55 90.01 104.64
Element x y z (fractional)
Sr 0.630 0.293 0.775
Sr 0.263 0.560 0.024
Sr 0.781 0.594 0.398
Sr 0.413 0.861 0.647
Sr 0.972 0.977 0.033
Sr 0.072 0.178 0.388
Bi 0.415 0.862 0.286
Bi 0.629 0.292 0.135
Ga 0.809 0.653 0.773
Ga 0.234 0.501 0.648

Calculated values
magnetization: 0.0 μB/cell
DOS(E_F): 3.3 states/eV/f.u.
formation energy: -0.554 eV per atom
space-group type: C2/m (12)
uncorrected energy: -0.108 hartree per atom


SrGa3Bi | PBE-GGA | relaxed

abc: 5.563 5.563 5.563
angles: 90.00 90.00 90.00
Element x y z (fractional)
Ga 0.000 0.500 0.000
Ga 0.000 0.000 0.500
Ga 0.500 0.000 0.000
Sr 0.500 0.500 0.500
Bi 0.000 0.000 0.000

Calculated values
magnetization: 0.0 μB/cell
DOS(E_F): 3.0 states/eV/f.u.
formation energy: 0.277 eV per atom
space-group type: Pm-3m (221)
uncorrected energy: -0.097 hartree per atom


Question: Which of these has the lowest DOS(E_F)?
Answer: SrGa3Bi


Question: Number 1 is which compound?
Answer: Sr3GaBi


Question: Which value of DOS(E_F) does entry 1 give?
Answer: 3.3 states/eV/f.u.